(1)
The following is a PBE-GGA calculation of an optimized crystal structure of Pm4ThIn5, from the Alexandria database.

```
Pm4ThIn5
1.0
3.582 0.000 0.000
0.000 3.582 0.000
0.000 0.000 22.140
Pm Th In
4 1 5
Cartesian
0.000 0.000 2.201
0.000 0.000 6.598
0.000 0.000 15.542
0.000 0.000 19.939
0.000 0.000 11.070
1.791 1.791 0.000
1.791 1.791 4.403
1.791 1.791 8.803
1.791 1.791 13.337
1.791 1.791 17.736
```

Values from the calculation:
Calculated formation energy = -42.9 kJ per mole of atoms
N(E_F) = 8.83 states/eV/f.u.
SG = P4/mmm (123)


(2)
The following is a PBE-GGA calculation of an optimized crystal structure of Ac8Si3Se4O, from the Alexandria database.

```
Ac8Si3Se4O
1.0
7.688 -4.435 0.000
7.688 4.435 0.000
-5.123 0.000 7.383
Ac Si Se O
8 3 4 1
Cartesian
3.885 2.286 5.374
-0.051 0.000 5.393
6.369 2.286 2.009
2.564 0.000 1.914
7.690 0.000 5.469
3.885 -2.286 5.374
10.304 0.000 1.990
6.369 -2.286 2.009
1.283 2.218 3.692
1.283 -2.218 3.692
5.127 0.000 3.692
0.000 0.000 0.000
3.844 2.218 0.000
3.844 -2.218 0.000
7.688 0.000 0.000
-2.561 0.000 3.692
```

Values from the calculation:
N(E_F) = 4.41 states/eV/f.u.
ΔE_f (raw) = -1.46 eV/atom
SG = C2/m (12)


(3)
The following is a PBE-GGA calculation of an optimized crystal structure of Tb3Pm3Pr4, from the Alexandria database.

```
Tb3Pm3Pr4
1.0
3.875 0.000 0.000
0.000 6.727 6.704
0.000 -6.727 6.704
Tb Pm Pr
3 3 4
Cartesian
0.000 0.000 0.000
0.000 -2.268 8.975
0.000 2.268 8.975
0.000 0.000 4.525
1.937 -3.394 5.625
1.937 3.394 5.625
1.937 -1.761 2.254
1.937 1.761 2.254
1.937 0.000 7.234
1.937 0.000 10.713
```

Values from the calculation:
Calculated formation energy = 9.8 kJ per mole of atoms
N(E_F) = 11.56 states/eV/f.u.
SG = Amm2 (38)


(4)
The following is a PBE-GGA calculation of an optimized crystal structure of ErPaS2, from the Alexandria database.

```
ErPaS2
1.0
1.824 1.053 7.224
-1.824 1.053 7.224
0.000 -2.106 7.224
Er Pa S
1 1 2
Cartesian
0.000 0.000 0.000
0.000 0.000 3.729
0.000 0.000 12.763
0.000 0.000 16.259
```

Values from the calculation:
Polymorph energy (0 for the lowest one) = 0.1034 eV/atom
N(E_F) = 3.74 states/eV/f.u.
ΔE_f (raw) = -1.66 eV/atom
SG = R3m (160)


(5)
The following is a PBE-GGA calculation of an optimized crystal structure of Zn2AsPbSe, from the Alexandria database.

```
Zn2AsPbSe
1.0
4.840 0.000 0.000
0.000 4.840 0.000
0.000 0.000 5.854
Zn As Pb Se
2 1 1 1
Cartesian
0.000 2.420 0.000
2.420 0.000 0.000
0.000 0.000 2.927
2.420 2.420 2.927
2.420 2.420 0.000
```

Values from the calculation:
N(E_F) = 1.63 states/eV/f.u.
ΔE_f (raw) = 0.35 eV/atom
SG = P4/mmm (123)